Below is an optimized crystal structure of SrCdBr, with properties calculated at the GGA-PBEsol level.

Properties
Electronic total energy = -7.18 eV/cell
Relative energy among the computed polymorphs = 0.081 eV per atom
N(E_F) = 1.93 states/eV/f.u.
Space group = P-6m2
Calculated volume = 101.74 Å³/cell

a b c (Å): 4.3233 5.2128 5.2128
angles (deg): 120.00 90.00 90.00
Last column: nearest neighbours and their distance in Å.
Fractional positions:
Sr 0.5000 0.6667 0.3333  3 Br 3.01
Br 0.5000 0.0000 0.0000  3 Sr 3.01
Cd 0.0000 0.3333 0.6667  6 Br 3.71, 6 Sr 3.71